# CsLa2ZnCl | Alexandria via LeMat-Bulk | SCAN | PBEsol geometry
# formation energy from raw total energies = 18.13 kcal/mol of atoms
data_CsLa2ZnCl
_space_group_name_H-M_alt 'P 4/m m m'
_space_group_IT_number 123
_space_group_name_Hall '-P 4 2'
_cell_length_a 5.8580
_cell_length_b 5.8580
_cell_length_c 5.3328
_cell_angle_alpha 90.00
_cell_angle_beta 90.00
_cell_angle_gamma 90.00
loop_
_atom_site_label
_atom_site_type_symbol
_atom_site_fract_x
_atom_site_fract_y
_atom_site_fract_z
Cs1 Cs 0.0000 0.0000 0.0000
La1 La 0.0000 0.5000 0.0000
Zn1 Zn 0.0000 0.0000 0.5000
Cl1 Cl 0.5000 0.5000 0.5000